[1]
DFT (GGA-PBE) results for a relaxed SrSeS2 crystal.

It has space group I-42d (No. 122), with a = 5.5877 Å, b = 5.5877 Å, c = 15.3139 Å, α = 90.00°, β = 90.00° and γ = 90.00°. The distinct sites, in fractional coordinates, are Sr at (0.0000, 0.0000, 0.0000), Se at (0.0000, 0.0000, 0.5000) and S at (0.1805, 0.2500, 0.6250).

The uncorrected formation energy is -0.626 eV per atom. For the density of states at the Fermi level, the calculation gives 0.18 states/eV/cell. For the density, the calculation gives 3.2 g/cm3. For the total energy, the calculation gives -63.694 eV for the cell shown.

***

[2]
DFT (GGA-PBE) results for a relaxed SrSe2S crystal.

It has space group P1 (No. 1), with a = 5.9487 Å, b = 6.1063 Å, c = 6.9670 Å, α = 79.23°, β = 74.41° and γ = 83.56°. The distinct sites, in fractional coordinates, are Sr at (0.0000, 0.0000, 0.0000), Sr at (0.4661, 0.4561, 0.3506), Se at (0.0091, 0.3884, 0.2424), Se at (0.1519, 0.5374, 0.8089), Se at (0.5468, 0.9421, 0.3411), Se at (0.7662, 0.4897, 0.7828), S at (0.5055, 0.8729, 0.0419) and S at (0.8400, 0.2260, 0.5828).

The uncorrected formation energy is -0.947 eV per atom. For the density, the calculation gives 3.9 g/cm3. For the total energy, the calculation gives -33.132 eV for the cell shown.

***

[3]
DFT (GGA-PBE) results for a relaxed SrSeS crystal.

It has space group Immm (No. 71), with a = 4.0773 Å, b = 4.9145 Å, c = 16.5458 Å, α = 90.00°, β = 90.00° and γ = 90.00°. The distinct sites, in fractional coordinates, are Sr at (0.0000, 0.0000, 0.1533), Se at (0.0000, 0.2696, 0.5000) and S at (0.0000, 0.0000, 0.3303).

The uncorrected formation energy is -1.100 eV per atom. For the density of states at the Fermi level, the calculation gives 3.59 states/eV/cell. For the density, the calculation gives 4.0 g/cm3. For the total energy, the calculation gives -50.378 eV for the cell shown.

***

[4]
DFT (GGA-PBE) results for a relaxed SrSe2S crystal.

It has space group C2/m (No. 12), with a = 8.4527 Å, b = 5.5629 Å, c = 9.1802 Å, α = 90.00°, β = 91.38° and γ = 90.00°. The distinct sites, in fractional coordinates, are Sr at (0.2297, 0.0000, 0.3058), Se at (0.0000, 0.0000, 0.0000), Se at (0.0000, 0.5000, 0.0000), Se at (0.2451, 0.0000, 0.8298) and S at (0.0000, 0.3094, 0.5000).

The uncorrected formation energy is -0.944 eV per atom. For the density of states at the Fermi level, the calculation gives 9.70 states/eV/cell. For the density, the calculation gives 4.3 g/cm3. For the total energy, the calculation gives -66.211 eV for the cell shown.

***

[5]
DFT (GGA-PBE) results for a relaxed SrSeS3 crystal.

It has space group Pm-3m (No. 221), with a = 4.8695 Å, b = 4.8695 Å, c = 4.8695 Å, α = 90.00°, β = 90.00° and γ = 90.00°. The distinct sites, in fractional coordinates, are Sr at (0.0000, 0.0000, 0.0000), Se at (0.5000, 0.5000, 0.5000) and S at (0.0000, 0.5000, 0.5000).

The offset from the most stable computed form is 238.6 meV per atom. The uncorrected formation energy is -0.518 eV per atom. For the density of states at the Fermi level, the calculation gives 1.26 states/eV/cell. For the density, the calculation gives 3.8 g/cm3. For the total energy, the calculation gives -20.140 eV for the cell shown.

***

[6]
DFT (GGA-PBE) results for a relaxed Sr3SeS crystal.

It has space group Pm-3m (No. 221), with a = 5.6818 Å, b = 5.6818 Å, c = 5.6818 Å, α = 90.00°, β = 90.00° and γ = 90.00°. The distinct sites, in fractional coordinates, are Sr at (0.0000, 0.0000, 0.5000), Se at (0.5000, 0.5000, 0.5000) and S at (0.0000, 0.0000, 0.0000).

The offset from the most stable computed form is 0.0 meV per atom. The uncorrected formation energy is -1.046 eV per atom. For the density of states at the Fermi level, the calculation gives 5.48 states/eV/cell. For the density, the calculation gives 3.4 g/cm3. For the total energy, the calculation gives -17.889 eV for the cell shown.

***

[7]
DFT (GGA-PBE) results for a relaxed Sr4Se3S crystal.

It has space group R-3m (No. 166, hexagonal axes), with a = 4.4141 Å, b = 4.4141 Å, c = 43.2737 Å, α = 90.00°, β = 90.00° and γ = 120.00°. The distinct sites, in fractional coordinates, are Sr at (0.0000, 0.0000, 0.1243), Sr at (0.0000, 0.0000, 0.3729), Se at (0.0000, 0.0000, 0.2514), Se at (0.0000, 0.0000, 0.5000) and S at (0.0000, 0.0000, 0.0000).

The uncorrected formation energy is -2.087 eV per atom. For the density of states at the Fermi level, the calculation gives 0.00 states/eV/cell. For the density, the calculation gives 4.2 g/cm3. For the total energy, the calculation gives -114.007 eV for the cell shown.

***

[8]
DFT (GGA-PBE) results for a relaxed SrSe2S8 crystal.

It has space group P-1 (No. 2), with a = 5.2539 Å, b = 5.9423 Å, c = 12.3413 Å, α = 93.32°, β = 100.76° and γ = 110.95°. The distinct sites, in fractional coordinates, are Sr at (0.0000, 0.0000, 0.0000), Se at (0.2660, 0.8424, 0.4861), S at (0.1675, 0.4209, 0.8491), S at (0.2475, 0.6494, 0.2114), S at (0.3067, 0.5647, 0.3751) and S at (0.3721, 0.7892, 0.9113).

The uncorrected formation energy is -0.281 eV per atom. For the density, the calculation gives 2.4 g/cm3. For the total energy, the calculation gives -44.765 eV for the cell shown.

***

[9]
DFT (GGA-PBE) results for a relaxed SrSe2S crystal.

It has space group P1 (No. 1), with a = 5.7402 Å, b = 6.3313 Å, c = 7.1587 Å, α = 87.63°, β = 68.03° and γ = 89.37°. The distinct sites, in fractional coordinates, are Sr at (0.0000, 0.0000, 0.0000), Sr at (0.3877, 0.4511, 0.2192), Se at (0.1296, 0.6648, 0.6604), Se at (0.3958, 0.9590, 0.2308), Se at (0.7479, 0.6888, 0.5972), Se at (0.9635, 0.5044, 0.0530), S at (0.5446, 0.0950, 0.9026) and S at (0.7837, 0.3962, 0.4216).

The uncorrected formation energy is -0.960 eV per atom. For the density, the calculation gives 3.8 g/cm3. For the total energy, the calculation gives -33.240 eV for the cell shown.

***

[10]
DFT (GGA-PBE) results for a relaxed SrSe2S crystal.

It has space group P1 (No. 1), with a = 4.6858 Å, b = 5.1015 Å, c = 10.9439 Å, α = 83.83°, β = 78.18° and γ = 65.44°. The distinct sites, in fractional coordinates, are Sr at (0.0000, 0.0000, 0.0000), Sr at (0.1029, 0.5506, 0.6279), Se at (0.2620, 0.3651, 0.1150), Se at (0.3963, 0.7639, 0.3575), Se at (0.5611, 0.0792, 0.7948), Se at (0.9823, 0.1768, 0.2875), S at (0.4711, 0.9126, 0.5323) and S at (0.5869, 0.4951, 0.8449).

The uncorrected formation energy is -0.970 eV per atom. For the density, the calculation gives 4.0 g/cm3. For the total energy, the calculation gives -33.315 eV for the cell shown.

***

[11]
DFT (GGA-PBE) results for a relaxed Sr4SeS3 crystal.

It has space group C2/m (No. 12), with a = 14.3620 Å, b = 4.3282 Å, c = 7.5032 Å, α = 90.00°, β = 100.04° and γ = 90.00°. The distinct sites, in fractional coordinates, are Sr at (0.1255, 0.0000, 0.3806), Sr at (0.1287, 0.5000, 0.8707), Se at (0.0000, 0.0000, 0.0000), S at (0.0000, 0.5000, 0.5000) and S at (0.2488, 0.5000, 0.2511).

The offset from the most stable computed form is 0.0 meV per atom. The uncorrected formation energy is -2.126 eV per atom. For the density of states at the Fermi level, the calculation gives 0.00 states/eV/cell. For the density, the calculation gives 3.8 g/cm3. For the total energy, the calculation gives -79.205 eV for the cell shown.